A relaxed TaCrP2 crystal. Source: Alexandria, functional PBEsol.

## Properties
* energy of formation: -0.0974 eV/atom
* offset from the most stable computed form: 18.5 kJ/mol of atoms
* crystal system: trigonal

a = 2.9658 Å, b = 2.9658 Å, c = 7.5325 Å
α = 78.65°, β = 78.65°, γ = 60.00°
Fractional coordinates of all 4 atoms:
P  0.9952  0.9952  0.0143
P  0.7471  0.7471  0.7588
Cr  0.2587  0.2587  0.2240
Ta  0.4990  0.4990  0.5029

---

A relaxed TlHg2Au crystal. Source: Alexandria, functional PBEsol.

## Properties
* energy of formation: 0.0391 eV/atom
* offset from the most stable computed form: 1.6 kJ/mol of atoms
* crystal system: tetragonal

a = 3.4728 Å, b = 3.4728 Å, c = 7.5143 Å
α = 90.00°, β = 90.00°, γ = 89.96°
Fractional coordinates of all 4 atoms:
Hg  0.0000  0.0000  0.0234
Hg  0.5000  0.5000  0.7687
Tl  0.0000  0.0000  0.4744
Au  0.5000  0.5000  0.2334

---

A relaxed LiZn2AgN crystal. Source: Alexandria, functional PBEsol.

## Properties
* E_form (uncorrected): 0.02 eV per atom
* crystal system: tetragonal

a = 4.0407 Å, b = 4.0407 Å, c = 4.0092 Å
α = 90.00°, β = 90.00°, γ = 90.00°
Fractional coordinates of all 5 atoms:
Ag  0.5000  0.5000  0.5000
Li  0.0000  0.0000  0.5000
Zn  0.0000  0.5000  0.0000
Zn  0.5000  0.0000  0.0000
N  0.0000  0.0000  0.0000

---

A relaxed Li2CaRu crystal. Source: Alexandria, functional PBEsol.

## Properties
* energy of formation: 0.4064 eV/atom
* offset from the most stable computed form: 0.8 kJ/mol of atoms
* crystal system: monoclinic

a = 2.8296 Å, b = 5.0701 Å, c = 5.6869 Å
α = 114.87°, β = 101.74°, γ = 95.83°
Fractional coordinates of all 4 atoms:
Li  0.0000  0.0000  0.5000
Li  0.5000  0.5000  0.5000
Ru  0.5000  0.0000  0.0000
Ca  0.0000  0.5000  0.0000

---

A relaxed TaMoOs2 crystal. Source: Alexandria, functional PBEsol.

## Properties
* energy of formation: 0.0881 eV/atom
* offset from the most stable computed form: 10.4 kJ/mol of atoms
* crystal system: tetragonal

a = 2.9597 Å, b = 4.5426 Å, c = 4.5426 Å
α = 90.00°, β = 90.00°, γ = 90.00°
Fractional coordinates of all 4 atoms:
Ta  0.5000  0.5000  0.5000
Mo  0.5000  0.0000  0.0000
Os  0.0000  0.5000  0.0000
Os  0.0000  0.0000  0.5000

---

A relaxed Li2HfReF crystal. Source: Alexandria, functional PBEsol.

## Properties
* E_form (uncorrected): -0.36 eV per atom
* crystal system: tetragonal

a = 3.7372 Å, b = 3.7372 Å, c = 5.2869 Å
α = 90.00°, β = 90.00°, γ = 90.00°
Fractional coordinates of all 5 atoms:
F  0.0000  0.0000  0.0000
Li  0.5000  0.0000  0.0000
Li  0.0000  0.5000  0.0000
Re  0.0000  0.0000  0.5000
Hf  0.5000  0.5000  0.5000

---

A relaxed Mn2ClO3 crystal. Source: Alexandria, functional PBEsol.

## Properties
* E_form (uncorrected): -1.38 eV per atom
* crystal system: orthorhombic

a = 5.7289 Å, b = 6.3995 Å, c = 8.2526 Å
α = 90.00°, β = 90.00°, γ = 90.00°
Last column: magnetic moment on the atom in μB.
Fractional coordinates of all 24 atoms:
Mn  0.0000  0.0000  0.0000  3.50
Mn  0.3092  0.7500  0.7513  2.77
Mn  0.8092  0.7500  0.7487  2.77
Mn  0.5000  0.0000  0.5000  3.50
Mn  0.0000  0.5000  0.0000  3.50
Mn  0.1908  0.2500  0.2513  2.77
Mn  0.6908  0.2500  0.2487  2.77
Mn  0.5000  0.5000  0.5000  3.50
O  0.4428  0.4451  0.2749  0.04
O  0.1826  0.2500  0.0220  0.03
O  0.0572  0.9451  0.7749  0.04
O  0.9428  0.4451  0.2251  0.04
O  0.8174  0.7500  0.9780  0.03
O  0.6826  0.2500  0.4780  0.03
O  0.9428  0.0549  0.2251  0.04
O  0.4428  0.0549  0.2749  0.04
O  0.3174  0.7500  0.5220  0.03
O  0.5572  0.9451  0.7251  0.04
O  0.0572  0.5549  0.7749  0.04
O  0.5572  0.5549  0.7251  0.04
Cl  0.3379  0.7500  0.0293  0.09
Cl  0.8379  0.7500  0.4707  0.09
Cl  0.6621  0.2500  0.9707  0.09
Cl  0.1621  0.2500  0.5293  0.09

---

A relaxed ScOs2Br crystal. Source: Alexandria, functional PBEsol.

## Properties
* E_form (uncorrected): 0.61 eV per atom
* crystal system: trigonal

a = 2.9599 Å, b = 2.9599 Å, c = 8.7632 Å
α = 80.28°, β = 80.28°, γ = 60.00°
Fractional coordinates of all 4 atoms:
Sc  0.5000  0.5000  0.5000
Os  0.7494  0.7494  0.7518
Os  0.2506  0.2506  0.2482
Br  0.0000  0.0000  0.0000

---

Number 1: magnetization 0.000 μB/f.u.. Number 2: magnetization 0.000 μB/f.u.. Number 3: magnetization 0.000 μB/f.u.. Number 4: magnetization 0.000 μB/f.u.. Number 5: magnetization 0.000 μB/f.u.. Number 6: magnetization 0.000 μB/f.u.. Number 7: magnetization 6.724 μB/f.u.. Number 8: magnetization 0.000 μB/f.u..